# 1
Sr2AlGaCu2O7 after structural relaxation, computed with GGA-PBEsol.

Properties
formation energy without anion corrections: -1.994 eV per atom
total moment: 0.0000 μB/atom
volume: 316.74 Å³/cell

a = 11.9817 Å, b = 11.9817 Å, c = 5.2281 Å
α = 102.59°, β = 102.59°, γ = 25.66°
Closest atoms and distances in Å follow each position.
Fractional coordinates of all 26 atoms:
Sr  0.2362  0.7638  0.5000  5 O 2.43-2.57
Sr  0.4377  0.9650  0.7009  5 O 2.43-2.57
Sr  0.7638  0.2362  0.0000  5 O 2.43-2.57
Sr  0.9650  0.4377  0.2009  5 O 2.43-2.57
Al  0.1000  0.6014  0.3581  4 O 1.83
Al  0.6014  0.1000  0.8581  4 O 1.83
Ga  0.4190  0.7824  0.0593  4 O 1.85-1.90
Ga  0.7824  0.4190  0.5593  4 O 1.85-1.90
Cu  0.0406  0.5424  0.7994  4 O 1.93-1.95
Cu  0.1612  0.6585  0.9182  4 O 1.93-1.95
Cu  0.5424  0.0406  0.2994  4 O 1.93-1.95
Cu  0.6585  0.1612  0.4182  4 O 1.93-1.95
O  0.2275  0.3654  0.4849  1 Al 1.83, 2 Cu 1.93-1.95
O  0.2421  0.8065  0.0452  1 Ga 1.85
O  0.3349  0.4767  0.2362  1 Al 1.83, 2 Cu 1.93-1.94
O  0.3654  0.2275  0.9849  1 Al 1.83, 2 Cu 1.93-1.95
O  0.3949  0.9593  0.1977  1 Ga 1.85
O  0.4545  0.7469  0.6985  2 Ga 1.89-1.90
O  0.4767  0.3349  0.7362  1 Al 1.83, 2 Cu 1.93-1.94
O  0.7251  0.8660  0.6251  1 Al 1.83, 2 Cu 1.93-1.94
O  0.7469  0.4545  0.1985  2 Ga 1.89-1.90
O  0.8065  0.2421  0.5452  1 Ga 1.85
O  0.8364  0.9735  0.0942  1 Al 1.83, 2 Cu 1.93-1.95
O  0.8660  0.7251  0.1251  1 Al 1.83, 2 Cu 1.93-1.94
O  0.9593  0.3949  0.6977  1 Ga 1.85
O  0.9735  0.8364  0.5942  1 Al 1.83, 2 Cu 1.93-1.95

---

# 2
BaSr2Mg after structural relaxation, computed with GGA-PBEsol.

Properties
final energy: -1.859 eV per atom
total moment: 0.0000 μB/atom
volume: 361.38 Å³/cell

a = 14.3134 Å, b = 4.4249 Å, c = 6.3690 Å
α = 90.00°, β = 116.38°, γ = 90.00°
Closest atoms and distances in Å follow each position.
Fractional coordinates of all 8 atoms:
Ba  0.0000  0.0000  0.0000  2 Mg 3.64, 4 Sr 3.95
Ba  0.5000  0.5000  0.0000  2 Mg 3.64, 4 Sr 3.95
Sr  0.0594  0.5000  0.5594  2 Mg 3.54, 4 Ba 3.95
Sr  0.2819  0.5000  0.2832  4 Mg 3.88, 4 Sr 4.19-4.28, 4 Ba 4.23-4.24
Sr  0.5594  0.0000  0.5594  2 Mg 3.54, 4 Ba 3.95
Sr  0.7819  0.0000  0.2832  4 Mg 3.88, 4 Sr 4.19-4.28, 4 Ba 4.23-4.24
Mg  0.2747  0.0000  0.7765  6 Sr 3.54-3.88, 2 Ba 3.64
Mg  0.7747  0.5000  0.7765  6 Sr 3.54-3.88, 2 Ba 3.64

---

# 3
HfCoP after structural relaxation, computed with GGA-PBEsol.

Properties
final energy: -9.247 eV per atom
total moment: 0.0000 μB/atom
volume: 158.02 Å³/cell

a = 6.2044 Å, b = 3.6330 Å, c = 7.0104 Å
α = 90.00°, β = 90.00°, γ = 90.00°
Closest atoms and distances in Å follow each position.
Fractional coordinates of all 12 atoms:
Hf  0.0201  0.2500  0.1829  5 P 2.61-2.64, 6 Co 2.73-2.92
Hf  0.4799  0.7500  0.6829  5 P 2.61-2.64, 6 Co 2.73-2.92
Hf  0.5201  0.2500  0.3171  5 P 2.61-2.64, 6 Co 2.73-2.92
Hf  0.9799  0.7500  0.8171  5 P 2.61-2.64, 6 Co 2.73-2.92
Co  0.1391  0.2500  0.5620  4 P 2.27-2.41
Co  0.3609  0.7500  0.0620  4 P 2.27-2.41
Co  0.6391  0.2500  0.9380  4 P 2.27-2.41
Co  0.8609  0.7500  0.4380  4 P 2.27-2.41
P  0.2270  0.7500  0.3847  4 Co 2.27-2.41
P  0.2730  0.2500  0.8847  4 Co 2.27-2.41
P  0.7270  0.7500  0.1153  4 Co 2.27-2.41
P  0.7730  0.2500  0.6153  4 Co 2.27-2.41

---

# 4
LaNiSn2 after structural relaxation, computed with GGA-PBEsol.

Properties
final energy: -5.613 eV per atom
total moment: 0.0000 μB/atom
volume: 357.32 Å³/cell

a = 4.2450 Å, b = 11.6390 Å, c = 7.2321 Å
α = 90.00°, β = 90.00°, γ = 90.00°
Closest atoms and distances in Å follow each position.
Fractional coordinates of all 16 atoms:
La  0.0000  0.0609  0.2500  3 Ni 3.09-3.46, 4 Sn 3.20
La  0.0000  0.9391  0.7500  3 Ni 3.09-3.46, 4 Sn 3.20
La  0.5000  0.4391  0.7500  3 Ni 3.09-3.46, 4 Sn 3.20
La  0.5000  0.5609  0.2500  3 Ni 3.09-3.46, 4 Sn 3.20
Ni  0.0000  0.2049  0.7500  6 Sn 2.65-2.70
Ni  0.0000  0.7951  0.2500  6 Sn 2.65-2.70
Ni  0.5000  0.2951  0.2500  6 Sn 2.65-2.70
Ni  0.5000  0.7049  0.7500  6 Sn 2.65-2.70
Sn  0.0000  0.3468  0.0459  3 Ni 2.65-2.70, 1 Sn 2.95
Sn  0.0000  0.3468  0.4541  3 Ni 2.65-2.70, 1 Sn 2.95
Sn  0.0000  0.6532  0.5459  3 Ni 2.65-2.70, 1 Sn 2.95
Sn  0.0000  0.6532  0.9541  3 Ni 2.65-2.70, 1 Sn 2.95
Sn  0.5000  0.1532  0.5459  3 Ni 2.65-2.70, 1 Sn 2.95
Sn  0.5000  0.1532  0.9541  3 Ni 2.65-2.70, 1 Sn 2.95
Sn  0.5000  0.8468  0.0459  3 Ni 2.65-2.70, 1 Sn 2.95
Sn  0.5000  0.8468  0.4541  3 Ni 2.65-2.70, 1 Sn 2.95